Crystalline ZnIn2Pb at its relaxed geometry, computed with PBE.

The structure in POSCAR format:
```
ZnIn2Pb
1.0
-1.4922 3.7129 0.0054
-3.2361 0.8526 2.1939
3.0641 3.3779 6.8565
Zn In Pb
1 2 1
direct
0.6651 0.6651 0.0048
0.2644 0.2644 0.2067
0.0679 0.0679 0.7964
0.5026 0.5026 0.4921
```

Results
For the energy of formation, the calculation gives 0.137 eV per atom. As for the space group: R3m.